First-principles (PBE-GGA) data for LiCr2Mo after structural relaxation, as listed in Alexandria.

Values from the calculation:
Space-group type   Fm-3m (225)
Formation energy   493 meV/atom

```
LiCr2Mo
1.0
0.000 2.953 2.953
2.953 0.000 2.953
2.953 2.953 0.000
Li Cr Mo
1 2 1
direct
0.000 0.000 0.000
0.250 0.250 0.250
0.750 0.750 0.750
0.500 0.500 0.500
```



First-principles (PBE-GGA) data for SmPbSe2 after structural relaxation, as listed in Alexandria.

Values from the calculation:
ΔE_f (raw)   -1.1028 eV/atom
Space-group type   R3m (160)

```
SmPbSe2
1.0
2.033 1.174 7.924
-2.033 1.174 7.924
0.000 -2.347 7.924
Sm Pb Se
1 1 2
direct
0.000 0.000 0.000
0.835 0.835 0.835
0.257 0.257 0.257
0.411 0.411 0.411
```